# KSiBr2 (PBEsol, optimized geometry)
data_KSiBr2
_cell_length_a 7.449
_cell_length_b 7.449
_cell_length_c 7.449
_cell_angle_alpha 90.00
_cell_angle_beta 90.00
_cell_angle_gamma 90.00
_symmetry_space_group_name_H-M 'F m -3 m'
_symmetry_Int_Tables_number 225
_symmetry_space_group_name_Hall '-F 4 2 3'
loop_
_atom_site_label
_atom_site_fract_x
_atom_site_fract_y
_atom_site_fract_z
K1 0.000 0.000 0.000
Si1 0.000 0.000 0.500
Br1 0.250 0.250 0.250
# Fermi-level density of states, states/eV/cell: 9.3
# Formation energy without anion corrections, eV/atom: -0.334